Here is a relaxed structure of ZrTa2Mn from Alexandria. Energies are from PBE-GGA.

Cell lengths 3.3424, 4.7695, 8.7403 Å; angles 90.00, 90.00, 90.00 degrees
Fractional coordinates of all 8 atoms:
Zr 0.0000 0.0000 0.0000
Zr 0.5000 0.5000 0.0000
Ta 0.0000 0.0000 0.5570
Ta 0.0000 0.5000 0.2922
Ta 0.5000 0.0000 0.2922
Ta 0.5000 0.5000 0.5570
Mn 0.0000 0.5000 0.7698
Mn 0.5000 0.0000 0.7698

* calculated total energy: -82.000 eV/cell
* energy relative to the elements: 106 meV per atom
* theoretical density: 12.11 Mg/m³
* energy relative to the lowest polymorph listed for this composition: 44.4 kJ/mol of formula units

=====

Here is a relaxed structure of ZrTa2Mn from Alexandria. Energies are from PBE-GGA.

Cell lengths 3.1886, 4.7470, 9.1590 Å; angles 90.00, 90.00, 90.00 degrees
Fractional coordinates of all 8 atoms:
Zr 0.0000 0.0000 0.0000
Zr 0.5000 0.5000 0.5000
Ta 0.0000 0.0000 0.5434
Ta 0.0000 0.5000 0.7727
Ta 0.5000 0.0000 0.2727
Ta 0.5000 0.5000 0.0434
Mn 0.0000 0.5000 0.2622
Mn 0.5000 0.0000 0.7622

* calculated total energy: -82.278 eV/cell
* energy relative to the elements: 71 meV per atom
* theoretical density: 12.17 Mg/m³
* energy relative to the lowest polymorph listed for this composition: 31.0 kJ/mol of formula units

=====

Here is a relaxed structure of ZrTa2Mn from Alexandria. Energies are from PBE-GGA.

Cell lengths 3.8823, 3.8823, 20.3042 Å; angles 90.00, 90.00, 90.00 degrees
Fractional coordinates of all 16 atoms:
Zr 0.0000 0.0000 0.0000
Zr 0.0000 0.5000 0.2500
Zr 0.5000 0.0000 0.7500
Zr 0.5000 0.5000 0.5000
Ta 0.2452 0.7500 0.6250
Ta 0.2500 0.2452 0.3750
Ta 0.2500 0.2548 0.8750
Ta 0.2548 0.7500 0.1250
Ta 0.7452 0.2500 0.1250
Ta 0.7500 0.7452 0.8750
Ta 0.7500 0.7548 0.3750
Ta 0.7548 0.2500 0.6250
Mn 0.0000 0.0000 0.5000
Mn 0.0000 0.5000 0.7500
Mn 0.5000 0.0000 0.2500
Mn 0.5000 0.5000 0.0000

* calculated total energy: -156.080 eV/cell
* energy relative to the elements: 601 meV per atom
* theoretical density: 11.03 Mg/m³
* energy relative to the lowest polymorph listed for this composition: 235.4 kJ/mol of formula units

=====

Here is a relaxed structure of ZrTa2Mn from Alexandria. Energies are from PBE-GGA.

Cell lengths 4.5794, 4.5794, 3.2720 Å; angles 90.00, 90.00, 90.00 degrees
Fractional coordinates of all 4 atoms:
Zr 0.0000 0.0000 0.0000
Ta 0.0000 0.5000 0.5000
Ta 0.5000 0.0000 0.5000
Mn 0.5000 0.5000 0.0000

* calculated total energy: -40.565 eV/cell
* energy relative to the elements: 214 meV per atom
* theoretical density: 12.30 Mg/m³
* energy relative to the lowest polymorph listed for this composition: 86.3 kJ/mol of formula units

=====

Here is a relaxed structure of ZrTa2Mn from Alexandria. Energies are from PBE-GGA.

Cell lengths 3.2657, 4.5206, 4.7236 Å; angles 90.00, 90.00, 90.00 degrees
Fractional coordinates of all 4 atoms:
Zr 0.0000 0.0000 0.0000
Ta 0.0000 0.5000 0.5000
Ta 0.5000 0.0000 0.5000
Mn 0.5000 0.5000 0.0000

* calculated total energy: -40.900 eV/cell
* energy relative to the elements: 131 meV per atom
* theoretical density: 12.10 Mg/m³
* energy relative to the lowest polymorph listed for this composition: 54.0 kJ/mol of formula units

=====

Here is a relaxed structure of ZrTa2Mn3 from Alexandria. Energies are from PBE-GGA.

Cell lengths 3.0956, 3.0956, 9.3527 Å; angles 90.00, 90.00, 90.00 degrees
Fractional coordinates of all 6 atoms:
Zr 0.0000 0.0000 0.0000
Ta 0.0000 0.0000 0.3359
Ta 0.0000 0.0000 0.6641
Mn 0.5000 0.5000 0.1796
Mn 0.5000 0.5000 0.5000
Mn 0.5000 0.5000 0.8204

* calculated total energy: -60.794 eV/cell
* energy relative to the elements: -172 meV per atom
* theoretical density: 11.45 Mg/m³

=====

Here is a relaxed structure of ZrTa2Mn from Alexandria. Energies are from PBE-GGA.

Cell lengths 3.1470, 3.1470, 7.0237 Å; angles 90.00, 90.00, 90.00 degrees
Fractional coordinates of all 4 atoms:
Zr 0.0000 0.0000 0.0000
Ta 0.0000 0.0000 0.4455
Ta 0.5000 0.5000 0.7110
Mn 0.5000 0.5000 0.2456

* calculated total energy: -41.418 eV/cell
* energy relative to the elements: 1 meV per atom
* theoretical density: 12.13 Mg/m³
* energy relative to the lowest polymorph listed for this composition: 4.0 kJ/mol of formula units

=====

Here is a relaxed structure of ZrTa2Mn from Alexandria. Energies are from PBE-GGA.

Cell lengths 3.0934, 3.0934, 7.2952 Å; angles 90.00, 90.00, 90.00 degrees
Fractional coordinates of all 4 atoms:
Zr 0.0000 0.0000 0.0000
Ta 0.5000 0.5000 0.2949
Ta 0.5000 0.5000 0.7051
Mn 0.0000 0.0000 0.5000

* calculated total energy: -41.460 eV/cell
* energy relative to the elements: -9 meV per atom
* theoretical density: 12.09 Mg/m³
* energy relative to the lowest polymorph listed for this composition: 0.0 kJ/mol of formula units

=====

Number 1: N(E_F) 0.97 states/eV/atom. Number 2: N(E_F) 0.96 states/eV/atom. Number 3: N(E_F) 1.26 states/eV/atom. Number 4: N(E_F) 1.65 states/eV/atom. Number 5: N(E_F) 1.64 states/eV/atom. Number 6: N(E_F) 0.87 states/eV/atom. Number 7: N(E_F) 1.01 states/eV/atom. Number 8: N(E_F) 0.95 states/eV/atom.